Entry 1
## Ba2SrAlPt (GGA-PBE)

Data for Ba2SrAlPt after structural relaxation.

Results
**Crystal system**: tetragonal
**Symmetry**: P4/mmm, No. 123
**Volume**: 47.5 Å³/atom

a b c (Å): 6.2736 6.2736 6.0357
angles (deg): 90.00 90.00 90.00
Last column: nearest neighbours and their distance in Å.
Positions (direct):
1 Ba 0.0000 0.5000 0.0000  2 Al 3.14
2 Ba 0.5000 0.0000 0.0000  2 Al 3.14
3 Sr 0.0000 0.0000 0.5000  2 Al 3.02
4 Al 0.0000 0.0000 0.0000  2 Sr 3.02, 4 Ba 3.14
5 Pt 0.5000 0.5000 0.5000  8 Ba 4.35, 4 Sr 4.44

***

Entry 2
## Ba2SrAlPt (GGA-PBE)

Data for Ba2SrAlPt after structural relaxation.

Results
**Crystal system**: tetragonal
**Symmetry**: P4/mmm, No. 123
**Volume**: 39.8 Å³/atom

a b c (Å): 6.3292 6.3292 4.9706
angles (deg): 90.00 90.00 90.00
Last column: nearest neighbours and their distance in Å.
Positions (direct):
1 Ba 0.0000 0.5000 0.0000  2 Pt 3.16
2 Ba 0.5000 0.0000 0.0000  2 Pt 3.16
3 Sr 0.0000 0.0000 0.5000  8 Ba 4.02, 4 Al 4.48
4 Al 0.5000 0.5000 0.5000  2 Pt 2.49
5 Pt 0.5000 0.5000 0.0000  2 Al 2.49

***

Here are the energies relative to the best structure, in kJ/mol of atoms: entry 1 66.7; entry 2 0.0.

***

Entry 1
## RbBa2Al2 (GGA-PBE)

Data for RbBa2Al2 after structural relaxation.

Results
**Crystal system**: tetragonal
**Symmetry**: I4/mmm, No. 139
**Volume**: 45.7 Å³/atom

a b c (Å): 14.2487 14.2487 14.2487
angles (deg): 163.67 163.67 23.18
Last column: nearest neighbours and their distance in Å.
Positions (direct):
1 Rb 0.0000 0.0000 0.0000  4 Rb 4.05
2 Ba 0.3548 0.3548 0.0000  4 Al 3.56
3 Ba 0.6452 0.6452 0.0000  4 Al 3.56
4 Al 0.2500 0.7500 0.5000  4 Al 2.86
5 Al 0.7500 0.2500 0.5000  4 Al 2.86

***

Entry 2
## RbBa2Al2 (GGA-PBE)

Data for RbBa2Al2 after structural relaxation.

Results
**Crystal system**: tetragonal
**Symmetry**: P4/mbm, No. 127
**Volume**: 40.2 Å³/atom

a b c (Å): 10.1356 10.1356 3.9175
angles (deg): 90.00 90.00 90.00
Last column: nearest neighbours and their distance in Å.
Positions (direct):
1 Rb 0.0000 0.0000 0.0000  4 Ba 3.88, 2 Rb 3.92
2 Rb 0.5000 0.5000 0.0000  4 Ba 3.88, 2 Rb 3.92
3 Ba 0.1465 0.3535 0.0000  6 Al 3.55-3.57, 2 Rb 3.88, 2 Ba 3.92
4 Ba 0.3535 0.8535 0.0000  6 Al 3.55-3.57, 2 Rb 3.88, 2 Ba 3.92
5 Ba 0.6465 0.1465 0.0000  6 Al 3.55-3.57, 2 Rb 3.88, 2 Ba 3.92
6 Ba 0.8535 0.6465 0.0000  6 Al 3.55-3.57, 2 Rb 3.88, 2 Ba 3.92
7 Al 0.1456 0.6456 0.5000  6 Ba 3.55-3.57, 2 Al 3.92
8 Al 0.3544 0.1456 0.5000  6 Ba 3.55-3.57, 2 Al 3.92
9 Al 0.6456 0.8544 0.5000  6 Ba 3.55-3.57, 2 Al 3.92
10 Al 0.8544 0.3544 0.5000  6 Ba 3.55-3.57, 2 Al 3.92

***

Entry 3
## RbBa2Al2 (GGA-PBE)

Data for RbBa2Al2 after structural relaxation.

Results
**Crystal system**: tetragonal
**Symmetry**: P4/mbm, No. 127
**Volume**: 43.3 Å³/atom

a b c (Å): 9.7212 9.7212 4.5773
angles (deg): 90.00 90.00 90.00
Last column: nearest neighbours and their distance in Å.
Positions (direct):
1 Rb 0.0000 0.0000 0.0000  4 Al 4.02, 8 Ba 4.25
2 Rb 0.5000 0.5000 0.0000  4 Al 4.02, 8 Ba 4.25
3 Ba 0.1782 0.3218 0.5000  6 Al 3.61-3.84
4 Ba 0.3218 0.8218 0.5000  6 Al 3.61-3.84
5 Ba 0.6782 0.1782 0.5000  6 Al 3.61-3.84
6 Ba 0.8218 0.6782 0.5000  6 Al 3.61-3.84
7 Al 0.0979 0.5979 0.0000  1 Al 2.69
8 Al 0.4021 0.0979 0.0000  1 Al 2.69
9 Al 0.5979 0.9021 0.0000  1 Al 2.69
10 Al 0.9021 0.4021 0.0000  1 Al 2.69

***

Here are the energies relative to the best structure, in kJ/mol of atoms: entry 1 7.8; entry 2 4.5; entry 3 0.0.

***

Entry 1
## BaAl3Re (GGA-PBE)

Data for BaAl3Re after structural relaxation.

Results
**Crystal system**: cubic
**Symmetry**: Pm-3m, No. 221
**Volume**: 24.1 Å³/atom

a b c (Å): 4.9365 4.9365 4.9365
angles (deg): 90.00 90.00 90.00
Last column: nearest neighbours and their distance in Å.
Positions (direct):
1 Ba 0.0000 0.0000 0.0000  12 Al 3.49
2 Al 0.0000 0.5000 0.5000  2 Re 2.47
3 Al 0.5000 0.0000 0.5000  2 Re 2.47
4 Al 0.5000 0.5000 0.0000  2 Re 2.47
5 Re 0.5000 0.5000 0.5000  6 Al 2.47

***

Entry 2
## BaAl3Re (GGA-PBE)

Data for BaAl3Re after structural relaxation.

Results
**Crystal system**: cubic
**Symmetry**: Pm-3m, No. 221
**Volume**: 30.2 Å³/atom

a b c (Å): 5.3277 5.3277 5.3277
angles (deg): 90.00 90.00 90.00
Last column: nearest neighbours and their distance in Å.
Positions (direct):
1 Ba 0.0000 0.0000 0.0000  6 Al 2.66
2 Al 0.0000 0.0000 0.5000  2 Ba 2.66
3 Al 0.0000 0.5000 0.0000  2 Ba 2.66
4 Al 0.5000 0.0000 0.0000  2 Ba 2.66
5 Re 0.5000 0.5000 0.5000  12 Al 3.77

***

Here are the energies relative to the best structure, in kJ/mol of atoms: entry 1 0.0; entry 2 293.3.

***

Entry 1
## BaAlRe (GGA-PBE)

Data for BaAlRe after structural relaxation.

Results
**Crystal system**: cubic
**Symmetry**: F-43m, No. 216
**Volume**: 24.9 Å³/atom

a b c (Å): 4.7276 4.7276 4.7276
angles (deg): 60.00 60.00 60.00
Last column: nearest neighbours and their distance in Å.
Positions (direct):
1 Ba 0.0000 0.0000 0.0000  4 Re 2.90
2 Al 0.5000 0.5000 0.5000  4 Re 2.90
3 Re 0.2500 0.2500 0.2500  4 Ba 2.90, 4 Al 2.90

***

Entry 2
## BaAlRe (GGA-PBE)

Data for BaAlRe after structural relaxation.

Results
**Crystal system**: hexagonal
**Symmetry**: P-6m2, No. 187
**Volume**: 22.9 Å³/atom

a b c (Å): 5.0835 5.0835 3.0702
angles (deg): 90.00 90.00 120.00
Last column: nearest neighbours and their distance in Å.
Positions (direct):
1 Ba 0.0000 0.0000 0.0000  2 Ba 3.07, 6 Re 3.31, 6 Al 3.31
2 Al 0.3333 0.6667 0.5000  3 Re 2.93, 2 Al 3.07
3 Re 0.6667 0.3333 0.5000  3 Al 2.93, 2 Re 3.07

***

Here are the energies relative to the best structure, in kJ/mol of atoms: entry 1 5.6; entry 2 0.0.

***

Entry 1
## Ba2AlRh (GGA-PBE)

Data for Ba2AlRh after structural relaxation.

Results
**Crystal system**: tetragonal
**Symmetry**: I-42d, No. 122
**Volume**: 41.8 Å³/atom

a b c (Å): 8.6684 8.6684 8.6684
angles (deg): 94.44 94.44 147.69
Last column: nearest neighbours and their distance in Å.
Positions (direct):
1 Ba 0.3750 0.1935 0.3185  2 Rh 3.11
2 Ba 0.8065 0.1250 0.1815  2 Rh 3.11
3 Ba 0.8750 0.0565 0.6815  2 Rh 3.11
4 Ba 0.9435 0.6250 0.8185  2 Rh 3.11
5 Al 0.2500 0.7500 0.5000  2 Rh 2.41
6 Al 0.5000 0.5000 0.0000  2 Rh 2.41
7 Rh 0.0000 0.0000 0.0000  2 Al 2.41
8 Rh 0.7500 0.2500 0.5000  2 Al 2.41

***

Entry 2
## Ba2AlRh (GGA-PBE)

Data for Ba2AlRh after structural relaxation.

Results
**Crystal system**: orthorhombic
**Symmetry**: Cmmm, No. 65
**Volume**: 30.6 Å³/atom

a b c (Å): 5.3590 5.3590 4.2601
angles (deg): 90.00 90.00 90.14
Last column: nearest neighbours and their distance in Å.
Positions (direct):
1 Ba 0.0000 0.5000 0.0000  4 Rh 3.42, 4 Al 3.42, 4 Ba 3.78-3.79
2 Ba 0.5000 0.0000 0.0000  4 Rh 3.42, 4 Al 3.42, 4 Ba 3.78-3.79
3 Al 0.0000 0.0000 0.5000  8 Ba 3.42, 4 Rh 3.78-3.79
4 Rh 0.5000 0.5000 0.5000  8 Ba 3.42, 4 Al 3.78-3.79

***

Here are the energies relative to the best structure, in kJ/mol of atoms: entry 1 0.0; entry 2 30.1.

***

Entry 1
## Ba2AlRh (GGA-PBE)

Data for Ba2AlRh after structural relaxation.

Results
**Crystal system**: trigonal
**Symmetry**: R-3m, No. 166
**Volume**: 35.6 Å³/atom

a b c (Å): 9.3673 9.3673 9.3673
angles (deg): 26.31 26.31 26.31
Last column: nearest neighbours and their distance in Å.
Positions (direct):
1 Ba 0.2344 0.2344 0.2344  3 Rh 3.07
2 Ba 0.7656 0.7656 0.7656  3 Rh 3.07
3 Al 0.0000 0.0000 0.0000  6 Ba 3.64
4 Rh 0.5000 0.5000 0.5000  6 Ba 3.07

***

Entry 2
## Ba2AlRh (GGA-PBE)

Data for Ba2AlRh after structural relaxation.

Results
**Crystal system**: cubic
**Symmetry**: Fm-3m, No. 225
**Volume**: 30.8 Å³/atom

a b c (Å): 5.5849 5.5849 5.5849
angles (deg): 60.00 60.00 60.00
Last column: nearest neighbours and their distance in Å.
Positions (direct):
1 Ba 0.2500 0.2500 0.2500  4 Rh 3.42, 4 Al 3.42
2 Ba 0.7500 0.7500 0.7500  4 Al 3.42, 4 Rh 3.42
3 Al 0.0000 0.0000 0.0000  8 Ba 3.42
4 Rh 0.5000 0.5000 0.5000  8 Ba 3.42

***

Here are the energies relative to the best structure, in kJ/mol of atoms: entry 1 9.3; entry 2 0.0.